Record 1
Below is a relaxed structure of Ca4TlRh2, with properties calculated at the PBE level. Values from VASP.

Values from the calculation:
VASP energy ... -3.884 eV per atom
Mass density ... 4.8 g cm⁻³
SG ... R-3m
Magnetic moment ... 0.00 μB per cell
Crystal system ... trigonal

The structure in Quantum ESPRESSO input format:
```
&SYSTEM
  ibrav = 0, nat = 7, ntyp = 3
/
ATOMIC_SPECIES
Ca 40.08 Ca.upf
Tl 204.38 Tl.upf
Rh 102.91 Rh.upf
ATOMIC_POSITIONS angstrom
Ca 0.000 0.000 3.142
Ca 0.000 0.000 8.802
Ca 0.000 0.000 20.720
Ca 0.000 0.000 26.379
Tl 0.000 0.000 14.761
Rh 0.000 0.000 12.010
Rh 0.000 0.000 17.511
CELL_PARAMETERS angstrom
2.406 1.389 9.840
-2.406 1.389 9.840
0.000 -2.778 9.840
```


Record 2
Below is a relaxed structure of Sm2YPu, with properties calculated at the PBE level. Values from VASP.

Values from the calculation:
VASP energy ... -7.450 eV per atom
Mass density ... 8.3 g cm⁻³
SG ... P4/mmm
Magnetic moment ... 6.14 μB per cell
Crystal system ... tetragonal

The structure in Quantum ESPRESSO input format:
```
&SYSTEM
  ibrav = 0, nat = 4, ntyp = 3
/
ATOMIC_SPECIES
Sm 150.36 Sm.upf
Y 88.91 Y.upf
Pu 244.00 Pu.upf
ATOMIC_POSITIONS angstrom
Sm 0.000 0.000 2.471
Sm 0.000 0.000 7.658
Y 1.773 1.773 5.064
Pu 1.773 1.773 0.000
CELL_PARAMETERS angstrom
3.547 0.000 0.000
0.000 3.547 0.000
0.000 0.000 10.129
```


Record 3
Below is a relaxed structure of PuNi2PN, with properties calculated at the PBE level. Values from VASP.

Values from the calculation:
Mass density ... 10.6 g cm⁻³
SG ... Cmcm
Magnetic moment ... 8.78 μB per cell
Crystal system ... orthorhombic
Formation energy without anion corrections ... -0.8575 eV per atom

The structure in Quantum ESPRESSO input format:
```
&SYSTEM
  ibrav = 0, nat = 10, ntyp = 4
/
ATOMIC_SPECIES
Pu 244.00 Pu.upf
Ni 58.69 Ni.upf
P 30.97 P.upf
N 14.01 N.upf
ATOMIC_POSITIONS angstrom
Pu 1.739 5.158 4.971
Pu 1.739 -5.158 1.657
Ni 1.739 1.921 3.688
Ni 1.739 1.921 6.254
Ni 1.739 -1.921 0.374
Ni 1.739 -1.921 2.940
P 1.739 2.908 1.657
P 1.739 -2.908 4.971
N 1.739 0.000 0.000
N 1.739 0.000 3.314
CELL_PARAMETERS angstrom
1.739 -5.506 0.000
1.739 5.506 0.000
0.000 0.000 6.627
```